[1]
# La2Pm5ErTh, optimized geometry, DFT PBE-GGA
data_La2Pm5ErTh
_chemical_formula_sum 'La4 Pm10 Er2 Th2'
_cell_length_a 5.728
_cell_length_b 10.688
_cell_length_c 10.686
_cell_angle_alpha 90.00
_cell_angle_beta 90.00
_cell_angle_gamma 105.54
_symmetry_space_group_name_H-M 'P 1'
_symmetry_Int_Tables_number 1
loop_
_symmetry_equiv_pos_as_xyz
'x,y,z'
loop_
_atom_site_label
_atom_site_type_symbol
_atom_site_fract_x
_atom_site_fract_y
_atom_site_fract_z
Pm1 Pm 0.518 0.036 0.244
Th1 Th 0.199 0.399 0.011
Er1 Er 0.595 0.189 0.961
Pm2 Pm 0.984 0.969 0.520
La1 La 0.117 0.233 0.316
Pm3 Pm 0.614 0.227 0.524
Pm4 Pm 0.016 0.031 0.020
La2 La 0.115 0.230 0.733
Th2 Th 0.801 0.601 0.511
Pm5 Pm 0.724 0.449 0.813
Pm6 Pm 0.276 0.551 0.313
Pm7 Pm 0.386 0.773 0.024
Pm8 Pm 0.706 0.412 0.203
La3 La 0.885 0.770 0.233
Er2 Er 0.405 0.811 0.461
Pm9 Pm 0.294 0.588 0.703
La4 La 0.883 0.767 0.816
Pm10 Pm 0.482 0.964 0.744
# DOS at the Fermi energy = 12.5 states/eV/f.u.
# volume = 35.015 Å³ per atom
# ΔH_f (0 K) = 0.14 eV/atom
# total magnetization = 0.0 μB per formula unit

***

[2]
# La2Pm4ErTh, optimized geometry, DFT PBE-GGA
data_La2Pm4ErTh
_chemical_formula_sum 'La2 Pm4 Er1 Th1'
_cell_length_a 6.094
_cell_length_b 6.085
_cell_length_c 9.554
_cell_angle_alpha 50.49
_cell_angle_beta 90.00
_cell_angle_gamma 90.00
_symmetry_space_group_name_H-M 'P 1'
_symmetry_Int_Tables_number 1
loop_
_symmetry_equiv_pos_as_xyz
'x,y,z'
loop_
_atom_site_label
_atom_site_type_symbol
_atom_site_fract_x
_atom_site_fract_y
_atom_site_fract_z
Pm1 Pm 0.500 0.245 0.754
Pm2 Pm 0.000 0.254 0.246
Th1 Th 0.500 0.500 0.000
La1 La 0.500 0.000 0.500
Pm3 Pm 0.500 0.755 0.246
La2 La 0.000 0.000 0.000
Pm4 Pm 0.000 0.746 0.754
Er1 Er 0.000 0.500 0.500
# DOS at the Fermi energy = 16.1 states/eV/f.u.
# volume = 34.166 Å³ per atom
# ΔH_f (0 K) = 0.13 eV/atom
# total magnetization = 0.0 μB per formula unit